1.
Computed, not measured: crystalline Rb2HgBrCl6 at its relaxed geometry at the PBE level of DFT.

Cell lengths 7.6103, 7.6103, 7.8339 Å; angles 60.94, 60.94, 90.00 degrees
With the nearest neighbours (Å) after each atom.
Element x y z (fractional)
Br: 0.5000 0.5000 0.0000  4 Cl 2.63
Hg: 0.0000 0.0000 0.0000  2 Cl 2.44
Rb: 0.7500 0.2500 0.5000  12 Cl 3.83-3.92
Rb: 0.2500 0.7500 0.5000  12 Cl 3.83-3.92
Cl: 0.2142 0.2142 0.5716  1 Hg 2.44
Cl: 0.7858 0.7858 0.4284  1 Hg 2.44
Cl: 0.2559 0.2559 0.0000  1 Br 2.63, 1 Hg 2.75
Cl: 0.7441 0.7441 0.0000  1 Br 2.63, 1 Hg 2.75
Cl: 0.7441 0.2559 0.0000  1 Br 2.63, 1 Hg 2.75
Cl: 0.2559 0.7441 0.0000  1 Br 2.63, 1 Hg 2.75

Summary:
Uncorrected energy (eV per atom): -2.374
Space group: No. 139
Density of states at the Fermi level (states/eV/f.u.): 5.306
Formation energy (no corrections) (meV per atom): -875

2.
Computed, not measured: crystalline YIn3Au2 at its relaxed geometry at the PBE level of DFT.

Cell lengths 4.4143, 7.4822, 8.4451 Å; angles 90.00, 90.00, 90.00 degrees
With the nearest neighbours (Å) after each atom.
Element x y z (fractional)
Y: 0.5000 0.5275 0.5796  5 Au 3.09-3.17, 4 In 3.39-3.45
Y: 0.5000 0.0275 0.4204  5 Au 3.09-3.17, 4 In 3.39-3.45
In: 0.0000 0.4691 0.9066  5 Au 3.01-3.24
In: 0.0000 0.9691 0.0934  5 Au 3.01-3.24
In: 0.5000 0.6454 0.1925  4 Au 2.74-2.97
In: 0.5000 0.1454 0.8075  4 Au 2.74-2.97
In: 0.0000 0.3604 0.3020  4 Au 2.78-2.93
In: 0.0000 0.8604 0.6980  4 Au 2.78-2.93
Au: 0.5000 0.7574 0.8836  4 In 2.74-2.97
Au: 0.5000 0.2574 0.1164  4 In 2.74-2.97
Au: 0.0000 0.2403 0.6132  5 In 2.78-3.01, 2 Y 3.09
Au: 0.0000 0.7403 0.3868  5 In 2.78-3.01, 2 Y 3.09

Summary:
Formation enthalpy at 0 K (eV/atom): -0.440
Uncorrected energy (eV per atom): -3.979
Space group: No. 26
Density of states at the Fermi level (states/eV/f.u.): 2.621

3.
Computed, not measured: crystalline RbBa2SrAu at its relaxed geometry at the PBE level of DFT.

Cell lengths 6.5107, 6.5107, 6.7893 Å; angles 90.00, 90.00, 90.00 degrees
With the nearest neighbours (Å) after each atom.
Element x y z (fractional)
Sr: 0.5000 0.5000 0.5000  4 Rb 4.60, 8 Ba 4.70
Au: 0.0000 0.0000 0.0000  4 Ba 3.26, 2 Rb 3.39
Ba: 0.0000 0.5000 0.0000  2 Au 3.26
Ba: 0.5000 0.0000 0.0000  2 Au 3.26
Rb: 0.0000 0.0000 0.5000  2 Au 3.39

Summary:
Formation enthalpy at 0 K (eV/atom): -0.172
Uncorrected energy (eV per atom): -2.127
Offset from the most stable computed form (eV/f.u.): 0.56
Space group: No. 123
Density of states at the Fermi level (states/eV/f.u.): 4.842

4.
Computed, not measured: crystalline Rb2NaI3 at its relaxed geometry at the PBE level of DFT.

Cell lengths 7.3535, 9.9255, 8.8612 Å; angles 106.27, 114.51, 90.00 degrees
With the nearest neighbours (Å) after each atom.
Element x y z (fractional)
Rb: 0.6725 0.5862 0.3446  6 I 3.63-3.73
Rb: 0.6721 0.0862 0.3446  6 I 3.63-3.73
Rb: 0.3279 0.9138 0.6554  6 I 3.63-3.73
Rb: 0.3275 0.4138 0.6554  6 I 3.63-3.73
Na: 0.9660 0.7500 0.0000  5 I 3.26-3.35
Na: 0.0340 0.2500 0.0000  5 I 3.26-3.35
I: 0.4768 0.2500 0.0000  1 Na 3.26, 4 Rb 3.63
I: 0.5232 0.7500 0.0000  1 Na 3.26, 4 Rb 3.63
I: 0.1457 0.0729 0.2917  2 Na 3.35, 4 Rb 3.70-3.73
I: 0.8540 0.4271 0.7083  2 Na 3.35, 4 Rb 3.70-3.73
I: 0.1460 0.5729 0.2917  2 Na 3.35, 4 Rb 3.70-3.73
I: 0.8543 0.9271 0.7083  2 Na 3.35, 4 Rb 3.70-3.73

Summary:
Uncorrected energy (eV per atom): -2.711
Space group: No. 15
Density of states at the Fermi level (states/eV/f.u.): 0.000
Formation energy (no corrections) (meV per atom): -1393

5.
Computed, not measured: crystalline Li2GePb at its relaxed geometry at the PBE level of DFT.

Cell lengths 3.4254, 3.4254, 6.5921 Å; angles 90.00, 90.00, 90.00 degrees
With the nearest neighbours (Å) after each atom.
Element x y z (fractional)
Pb: 0.5000 0.5000 0.0000  8 Li 3.08, 2 Ge 3.30, 4 Pb 3.43
Ge: 0.5000 0.5000 0.5000  8 Li 2.80
Li: 0.0000 0.0000 0.7126  4 Ge 2.80, 1 Li 2.80, 4 Pb 3.08
Li: 0.0000 0.0000 0.2874  4 Ge 2.80, 1 Li 2.80, 4 Pb 3.08

Summary:
Formation enthalpy at 0 K (eV/atom): -0.210
Uncorrected energy (eV per atom): -3.248
Offset from the most stable computed form (eV/f.u.): 0.00
Space group: No. 123
Density of states at the Fermi level (states/eV/f.u.): 1.878

6.
Computed, not measured: crystalline Ba2SrSi at its relaxed geometry at the PBE level of DFT.

Cell lengths 5.9435, 5.9435, 5.9435 Å; angles 60.00, 60.00, 60.00 degrees
With the nearest neighbours (Å) after each atom.
Element x y z (fractional)
Ba: 0.0000 0.0000 0.0000  4 Ba 3.64, 4 Sr 3.64
Ba: 0.2500 0.2500 0.2500  4 Si 3.64, 4 Ba 3.64
Si: 0.5000 0.5000 0.5000  4 Ba 3.64, 4 Sr 3.64
Sr: 0.7500 0.7500 0.7500  4 Ba 3.64, 4 Si 3.64

Summary:
Uncorrected energy (eV per atom): -2.578
Space group: No. 216
Density of states at the Fermi level (states/eV/f.u.): 4.327
Formation energy (no corrections) (meV per atom): 160

7.
Computed, not measured: crystalline H3I2Br at its relaxed geometry at the PBE level of DFT.

Cell lengths 5.7475, 12.4871, 12.4871 Å; angles 152.19, 90.00, 90.00 degrees
With the nearest neighbours (Å) after each atom.
Element x y z (fractional)
H: 0.1609 0.6106 0.2823  1 I 1.67
H: 0.6609 0.7177 0.3894  1 I 1.67
H: 0.1609 0.2823 0.6106  1 I 1.67
H: 0.6609 0.3894 0.7177  1 I 1.67
H: 0.2596 0.0508 0.0508  1 Br 1.46
H: 0.7596 0.9492 0.9492  1 Br 1.46
I: 0.4637 0.9210 0.5929  1 H 1.67
I: 0.9637 0.4071 0.0790  1 H 1.67
I: 0.4637 0.5929 0.9210  1 H 1.67
I: 0.9637 0.0790 0.4071  1 H 1.67
Br: 0.9491 0.7863 0.7863  1 H 1.46
Br: 0.4491 0.2137 0.2137  1 H 1.46

Summary:
Uncorrected energy (eV per atom): -2.552
Space group: No. 36
Density of states at the Fermi level (states/eV/f.u.): 0.000

8.
Computed, not measured: crystalline B5C7 at its relaxed geometry at the PBE level of DFT.

Cell lengths 2.6071, 4.7313, 6.2271 Å; angles 83.48, 90.00, 90.00 degrees
With the nearest neighbours (Å) after each atom.
Element x y z (fractional)
B: 0.5000 0.5755 0.2110  1 C 1.65, 3 B 1.79-1.84
B: 0.5000 0.4665 0.9450  1 C 1.57, 2 B 1.68
B: 0.0000 0.6293 0.6733  3 C 1.64-1.67
B: 0.0000 0.3295 0.3280  2 C 1.57-1.58
B: 0.0000 0.6718 0.9988  1 C 1.58, 2 B 1.68
C: 0.5000 0.8621 0.3398  3 C 1.55-1.58, 1 B 1.65
C: 0.5000 0.1444 0.9083  3 C 1.53-1.56, 1 B 1.57
C: 0.0000 0.3169 0.5831  2 B 1.58-1.64, 2 C 1.60
C: 0.0000 0.0241 0.2515  3 C 1.52-1.58, 1 B 1.57
C: 0.0000 0.0047 0.0092  3 C 1.52-1.56, 1 B 1.58
C: 0.5000 0.1402 0.6625  4 C 1.53-1.60
C: 0.5000 0.8352 0.5895  2 C 1.55-1.56, 2 B 1.67

Summary:
Formation enthalpy at 0 K (eV/atom): 0.370
Uncorrected energy (eV per atom): -7.793
Offset from the most stable computed form (eV/f.u.): 1.34
Space group: No. 6
Density of states at the Fermi level (states/eV/f.u.): 1.205

9.
Computed, not measured: crystalline TaNbPd2 at its relaxed geometry at the PBE level of DFT.

Cell lengths 4.5785, 4.5785, 4.5785 Å; angles 60.00, 60.00, 60.00 degrees
With the nearest neighbours (Å) after each atom.
Element x y z (fractional)
Nb: 0.0000 0.0000 0.0000  8 Pd 2.80
Pd: 0.2500 0.2500 0.2500  4 Nb 2.80, 4 Ta 2.80
Pd: 0.7500 0.7500 0.7500  4 Ta 2.80, 4 Nb 2.80
Ta: 0.5000 0.5000 0.5000  8 Pd 2.80

Summary:
Formation enthalpy at 0 K (eV/atom): -0.014
Uncorrected energy (eV per atom): -8.091
Offset from the most stable computed form (eV/f.u.): 1.19
Space group: No. 225
Density of states at the Fermi level (states/eV/f.u.): 5.660

10.
Computed, not measured: crystalline Mg2PaPd8 at its relaxed geometry at the PBE level of DFT.

Cell lengths 4.1586, 6.3977, 7.4885 Å; angles 106.61, 106.12, 90.00 degrees
With the nearest neighbours (Å) after each atom.
Element x y z (fractional)
Mg: 0.7794 0.3485 0.5588  10 Pd 2.70-2.94
Mg: 0.2206 0.6515 0.4412  10 Pd 2.70-2.94
Pa: 0.5000 0.0000 0.0000  12 Pd 2.79-2.92
Pd: 0.4058 0.5458 0.8116  3 Mg 2.80-2.94, 1 Pa 2.82, 8 Pd 2.85-2.95
Pd: 0.6800 0.9181 0.3600  3 Mg 2.70-2.86, 1 Pa 2.79, 8 Pd 2.85-2.88
Pd: 0.8581 0.8092 0.7162  3 Mg 2.83-2.84, 7 Pd 2.85-2.89, 2 Pa 2.92
Pd: 0.9577 0.2728 0.9154  1 Mg 2.75, 9 Pd 2.80-2.95, 2 Pa 2.89
Pd: 0.1419 0.1908 0.2838  3 Mg 2.83-2.84, 7 Pd 2.85-2.89, 2 Pa 2.92
Pd: 0.3200 0.0819 0.6400  3 Mg 2.70-2.86, 1 Pa 2.79, 8 Pd 2.85-2.88
Pd: 0.5942 0.4542 0.1884  3 Mg 2.80-2.94, 1 Pa 2.82, 8 Pd 2.85-2.95
Pd: 0.0423 0.7272 0.0846  1 Mg 2.75, 9 Pd 2.80-2.95, 2 Pa 2.89

Summary:
Formation enthalpy at 0 K (eV/atom): -0.645
Uncorrected energy (eV per atom): -5.575
Space group: No. 12
Density of states at the Fermi level (states/eV/f.u.): 4.712

11.
Computed, not measured: crystalline Ac2ScIrS6 at its relaxed geometry at the PBE level of DFT.

Cell lengths 6.6003, 7.0367, 7.0356 Å; angles 119.98, 122.24, 90.00 degrees
With the nearest neighbours (Å) after each atom.
Element x y z (fractional)
Ac: 0.7254 0.2420 0.4834  6 S 2.96-3.23
Ac: 0.2744 0.7588 0.5162  6 S 2.96-3.22
Sc: 0.4999 0.5004 0.9998  6 S 2.55
Ir: 0.9999 0.0004 0.9998  6 S 2.40
S: 0.7554 0.8390 0.0779  1 Ir 2.40, 1 Sc 2.55
S: 0.7550 0.6774 0.5158  1 Ir 2.40, 1 Sc 2.55
S: 0.2441 0.1618 0.9214  1 Ir 2.40, 1 Sc 2.55
S: 0.7546 0.2392 0.9160  1 Ir 2.40, 1 Sc 2.55
S: 0.2448 0.3233 0.4838  1 Ir 2.40, 1 Sc 2.55
S: 0.2453 0.7617 0.0838  1 Ir 2.40, 1 Sc 2.55

Summary:
Uncorrected energy (eV per atom): -6.404
Space group: No. 148
Formation energy (no corrections) (meV per atom): -1586

12.
Computed, not measured: crystalline RbNa2SnAu at its relaxed geometry at the PBE level of DFT.

Cell lengths 5.9532, 5.9532, 5.3365 Å; angles 90.00, 90.00, 90.00 degrees
With the nearest neighbours (Å) after each atom.
Element x y z (fractional)
Na: 0.0000 0.5000 0.0000  2 Sn 2.98
Na: 0.5000 0.0000 0.0000  2 Sn 2.98
Au: 0.0000 0.0000 0.5000  2 Sn 2.67
Sn: 0.0000 0.0000 0.0000  2 Au 2.67, 4 Na 2.98
Rb: 0.5000 0.5000 0.5000  8 Na 4.00, 4 Au 4.21

Summary:
Formation enthalpy at 0 K (eV/atom): -0.115
Uncorrected energy (eV per atom): -2.293
Offset from the most stable computed form (eV/f.u.): 0.32
Space group: No. 123
Density of states at the Fermi level (states/eV/f.u.): 1.877